## Th2NiAu (GGA-PBE)

Data for an optimized crystal structure of Th2NiAu.

Output
**ΔH_f (0 K)**: 0.099 eV/atom
**Space group**: R-3m (166)

Structure (POSCAR):
```
Th2NiAu
1.0
-0.822 3.382 1.475
-3.305 0.545 1.753
2.467 -1.265 9.121
Th Ni Au
2 1 1
direct
0.105 0.105 0.685 Th
0.895 0.895 0.315 Th
0.500 0.500 0.500 Ni
0.000 0.000 0.000 Au
```

## BaPC (GGA-PBE)

Data for an optimized crystal structure of BaPC.

Output
**ΔH_f (0 K)**: 0.148 eV/atom
**Space group**: C2/m (12)

Structure (POSCAR):
```
BaPC
1.0
-0.912 -3.674 1.716
7.105 0.839 0.538
5.843 1.492 6.300
Ba P C
2 2 2
direct
0.025 0.050 0.256 Ba
0.975 0.950 0.744 Ba
0.233 0.465 0.691 P
0.767 0.535 0.309 P
0.336 0.671 0.724 C
0.664 0.329 0.276 C
```

## LiTl3Se4 (GGA-PBE)

Data for an optimized crystal structure of LiTl3Se4.

Output
**Formation energy (no corrections)**: -3.0 eV/f.u.
**Space group**: I-42m (121)

Structure (POSCAR):
```
LiTl3Se4
1.0
6.306 0.000 0.000
0.000 6.306 0.000
-3.153 -3.153 6.640
Se Tl Li
4 3 1
direct
0.902 0.902 0.255 Se
0.646 0.098 0.745 Se
0.354 0.354 0.255 Se
0.098 0.646 0.745 Se
0.750 0.250 0.500 Tl
0.250 0.750 0.500 Tl
0.500 0.500 0.000 Tl
0.000 0.000 0.000 Li
```

## V2ZnFe2 (GGA-PBE)

Data for an optimized crystal structure of V2ZnFe2.

Output
**ΔH_f (0 K)**: 0.132 eV/atom
**Energy above the lowest structure with this stoichiometry**: 66 kJ/mol of formula units
**Space group**: P4/mbm (127)

Structure (POSCAR):
```
V2ZnFe2
1.0
-0.146 5.030 4.741
-6.607 1.291 -1.574
-0.784 -1.761 1.844
Fe V Zn
4 4 2
direct
0.148 0.648 0.500 Fe
0.352 0.148 0.500 Fe
0.648 0.852 0.500 Fe
0.852 0.352 0.500 Fe
0.647 0.147 0.000 V
0.353 0.853 0.000 V
0.853 0.647 0.000 V
0.147 0.353 0.000 V
0.500 0.500 0.000 Zn
0.000 0.000 0.000 Zn
```

## Cs4PtO4 (GGA-PBE)

Data for an optimized crystal structure of Cs4PtO4.

Output
**Formation energy (no corrections)**: -9.6 eV/f.u.
**Space group**: I4/m (87)

Structure (POSCAR):
```
Cs4PtO4
1.0
8.846 0.000 0.000
0.000 8.846 0.000
0.000 0.000 5.969
O Pt Cs
8 2 8
direct
0.714 0.565 0.000 O
0.065 0.786 0.500 O
0.286 0.435 0.000 O
0.214 0.065 0.500 O
0.565 0.286 0.000 O
0.935 0.214 0.500 O
0.435 0.714 0.000 O
0.786 0.935 0.500 O
0.500 0.500 0.000 Pt
0.000 0.000 0.500 Pt
0.794 0.612 0.500 Cs
0.206 0.388 0.500 Cs
0.706 0.888 0.000 Cs
0.888 0.294 0.000 Cs
0.388 0.794 0.500 Cs
0.294 0.112 0.000 Cs
0.612 0.206 0.500 Cs
0.112 0.706 0.000 Cs
```

## CeHoOsRu (GGA-PBE)

Data for an optimized crystal structure of CeHoOsRu.

Output
**ΔH_f (0 K)**: -0.251 eV/atom
**Space group**: F-43m (216)

Structure (POSCAR):
```
CeHoOsRu
1.0
-0.781 0.167 -4.782
3.136 -2.100 -3.043
-1.267 -4.022 -2.391
Ru Ho Ce Os
1 1 1 1
direct
0.750 0.750 0.750 Ru
0.500 0.500 0.500 Ho
0.000 0.000 0.000 Ce
0.250 0.250 0.250 Os
```

## Ac6P2BrN3 (GGA-PBE)

Data for an optimized crystal structure of Ac6P2BrN3.

Output
**Formation energy (no corrections)**: -14.6 eV/f.u.
**Space group**: C2/m (12)

Structure (POSCAR):
```
Ac6P2BrN3
1.0
4.117 0.000 0.000
0.000 8.521 0.101
-2.058 -2.669 8.778
Ac P N Br
6 2 3 1
direct
0.011 0.717 0.022 Ac
0.680 0.070 0.359 Ac
0.663 0.592 0.327 Ac
0.989 0.283 0.978 Ac
0.320 0.930 0.641 Ac
0.337 0.408 0.673 Ac
0.161 0.324 0.322 P
0.839 0.676 0.678 P
0.830 0.162 0.660 N
0.170 0.838 0.340 N
0.500 0.500 0.000 N
0.500 0.000 0.000 Br
```

## LaRe (GGA-PBE)

Data for an optimized crystal structure of LaRe.

Output
**ΔH_f (0 K)**: 0.623 eV/atom
**Energy above the lowest structure with this stoichiometry**: 91 kJ/mol of formula units
**Space group**: P-6m2 (187)

Structure (POSCAR):
```
LaRe
1.0
2.089 0.154 -2.270
-3.008 -0.179 -0.679
-0.998 16.125 0.178
La Re
3 3
direct
0.667 0.333 0.000 La
0.000 0.000 0.215 La
0.000 0.000 0.785 La
0.000 0.000 0.500 Re
0.667 0.333 0.379 Re
0.667 0.333 0.621 Re
```

## BaLi2Os (GGA-PBE)

Data for an optimized crystal structure of BaLi2Os.

Output
**ΔH_f (0 K)**: 0.597 eV/atom
**Energy above the lowest structure with this stoichiometry**: 0 kJ/mol of formula units
**Space group**: Pmm2 (25)

Structure (POSCAR):
```
BaLi2Os
1.0
2.963 0.000 0.000
0.000 4.056 0.000
0.000 0.000 7.770
Li Ba Os
2 1 1
direct
0.000 0.000 0.096 Li
0.500 0.500 0.286 Li
0.500 0.500 0.691 Ba
0.000 0.000 0.427 Os
```

## CsCuReBr6 (GGA-PBE)

Data for an optimized crystal structure of CsCuReBr6.

Output
**Formation energy (no corrections)**: -5.3 eV/f.u.
**Space group**: P312 (149)

Structure (POSCAR):
```
CsCuReBr6
1.0
-4.581 -3.712 -3.505
-2.199 -5.997 2.503
-6.090 3.854 3.875
Br Cs Re Cu
6 1 1 1
direct
0.361 0.622 0.323 Br
0.622 0.361 0.677 Br
0.622 0.016 0.323 Br
0.016 0.622 0.677 Br
0.361 0.016 0.677 Br
0.016 0.361 0.323 Br
0.000 0.000 0.000 Cs
0.333 0.333 0.500 Re
0.666 0.667 0.500 Cu
```

## Li3Bi2Au (GGA-PBE)

Data for an optimized crystal structure of Li3Bi2Au.

Output
**ΔH_f (0 K)**: -0.422 eV/atom
**Energy above the lowest structure with this stoichiometry**: 0 kJ/mol of formula units
**Space group**: Cmmm (65)

Structure (POSCAR):
```
Li3Bi2Au
1.0
4.912 0.000 0.019
2.456 7.284 0.010
-0.027 0.000 6.895
Bi Li Au
4 6 2
direct
0.667 0.666 0.500 Bi
0.000 0.000 0.000 Bi
0.333 0.334 0.500 Bi
0.000 0.000 0.500 Bi
0.179 0.643 0.796 Li
0.500 0.000 0.225 Li
0.822 0.357 0.796 Li
0.500 0.000 0.775 Li
0.821 0.357 0.204 Li
0.178 0.643 0.204 Li
0.338 0.323 0.000 Au
0.662 0.677 0.000 Au
```

## LaCd3In2 (GGA-PBE)

Data for an optimized crystal structure of LaCd3In2.

Output
**ΔH_f (0 K)**: -0.171 eV/atom
**Energy above the lowest structure with this stoichiometry**: 56 kJ/mol of formula units
**Space group**: P6/mmm (191)

Structure (POSCAR):
```
LaCd3In2
1.0
-5.420 -2.593 -1.087
5.145 -3.069 -1.182
-0.041 -1.808 4.518
Cd In La
3 2 1
direct
0.000 0.500 0.500 Cd
0.500 0.000 0.500 Cd
0.500 0.500 0.500 Cd
0.667 0.333 0.000 In
0.333 0.667 0.000 In
0.000 0.000 0.000 La
```

## YFeCu2 (GGA-PBE)

Data for an optimized crystal structure of YFeCu2.

Output
**ΔH_f (0 K)**: 0.111 eV/atom
**Space group**: Pmmm (47)

Structure (POSCAR):
```
YFeCu2
1.0
-2.581 -1.568 -1.081
1.860 -1.571 -2.162
2.879 -6.131 2.019
Cu Y Fe
2 1 1
direct
0.000 0.553 0.447 Cu
0.000 0.947 0.053 Cu
0.500 0.750 0.750 Y
0.500 0.250 0.250 Fe
```

## DySeCl (GGA-PBE)

Data for an optimized crystal structure of DySeCl.

Output
**Formation energy (no corrections)**: -5.9 eV/f.u.
**Space group**: I-4m2 (119)

Structure (POSCAR):
```
DySeCl
1.0
3.856 0.000 -0.728
-0.138 3.854 -0.728
0.170 0.176 11.473
Se Cl Dy
2 2 2
direct
0.047 0.547 0.094 Se
0.453 0.953 0.906 Se
0.327 0.327 0.653 Cl
0.673 0.673 0.347 Cl
0.589 0.089 0.177 Dy
0.911 0.411 0.823 Dy
```

## PuPa6Fe (GGA-PBE)

Data for an optimized crystal structure of PuPa6Fe.

Output
**ΔH_f (0 K)**: 0.029 eV/atom
**Space group**: C2/m (12)

Structure (POSCAR):
```
PuPa6Fe
1.0
-2.608 -4.846 2.182
5.621 -0.826 -1.664
1.084 3.079 5.537
Pa Pu Fe
6 1 1
direct
0.594 0.927 0.753 Pa
0.073 0.406 0.247 Pa
0.245 0.245 0.761 Pa
0.755 0.755 0.239 Pa
0.927 0.594 0.753 Pa
0.406 0.073 0.247 Pa
0.000 0.000 0.000 Pu
0.500 0.500 0.500 Fe
```

## Cs2ScTlF6 (GGA-PBE)

Data for an optimized crystal structure of Cs2ScTlF6.

Output
**Formation energy (no corrections)**: -31.1 eV/f.u.
**Space group**: Fm-3m (225)

Structure (POSCAR):
```
Cs2ScTlF6
1.0
6.731 0.000 0.000
3.365 5.829 0.000
3.365 1.943 5.496
Tl Cs F Sc
1 2 6 1
direct
0.500 0.500 0.500 Tl
0.750 0.750 0.750 Cs
0.250 0.250 0.250 Cs
0.785 0.215 0.785 F
0.215 0.215 0.785 F
0.785 0.785 0.215 F
0.785 0.215 0.215 F
0.215 0.785 0.785 F
0.215 0.785 0.215 F
0.000 0.000 0.000 Sc
```

## Pu2HfMg (GGA-PBE)

Data for an optimized crystal structure of Pu2HfMg.

Output
**ΔH_f (0 K)**: 0.170 eV/atom
**Energy above the lowest structure with this stoichiometry**: 12 kJ/mol of formula units
**Space group**: R-3m (166)

Structure (POSCAR):
```
Pu2HfMg
1.0
-2.681 -0.359 1.727
0.127 -1.387 2.891
0.834 9.311 6.212
Pu Hf Mg
2 1 1
direct
0.747 0.747 0.760 Pu
0.253 0.253 0.240 Pu
0.000 0.000 0.000 Hf
0.500 0.500 0.500 Mg
```

## CaBeTl2F (GGA-PBE)

Data for an optimized crystal structure of CaBeTl2F.

Output
**Formation energy (no corrections)**: -2.4 eV/f.u.
**Space group**: P4/mmm (123)

Structure (POSCAR):
```
CaBeTl2F
1.0
-2.534 0.924 -5.120
-1.162 -3.218 -0.005
-4.817 1.735 2.697
F Tl Ca Be
1 2 1 1
direct
0.000 0.000 0.000 F
0.500 0.000 0.000 Tl
0.000 0.000 0.500 Tl
0.500 0.500 0.500 Ca
0.000 0.500 0.000 Be
```

## Nd3Sm6Tm2 (GGA-PBE)

Data for an optimized crystal structure of Nd3Sm6Tm2.

Output
**ΔH_f (0 K)**: 0.275 eV/atom
**Energy above the lowest structure with this stoichiometry**: 273 kJ/mol of formula units
**Space group**: I4/mmm (139)

Structure (POSCAR):
```
Nd3Sm6Tm2
1.0
4.814 0.000 0.000
0.000 4.814 0.000
-2.407 -2.407 16.739
Nd Sm Tm
3 6 2
direct
0.000 0.000 0.000 Nd
0.202 0.202 0.404 Nd
0.798 0.798 0.596 Nd
0.695 0.695 0.390 Sm
0.305 0.305 0.610 Sm
0.619 0.119 0.238 Sm
0.119 0.619 0.238 Sm
0.381 0.881 0.762 Sm
0.881 0.381 0.762 Sm
0.454 0.454 0.909 Tm
0.546 0.546 0.091 Tm
```

## MgSnHO (GGA-PBE)

Data for an optimized crystal structure of MgSnHO.

Output
**Energy above the lowest structure with this stoichiometry**: 92 kJ/mol of formula units
**Space group**: Cm (8)

Structure (POSCAR):
```
MgSnHO
1.0
-3.700 1.134 3.953
-2.381 0.109 -2.260
1.335 -9.605 -1.870
H Sn O Mg
2 2 2 2
direct
0.387 0.500 0.148 H
0.387 0.000 0.648 H
0.301 0.000 0.442 Sn
0.301 0.500 0.942 Sn
0.890 0.000 0.378 O
0.890 0.500 0.878 O
0.689 0.000 0.841 Mg
0.689 0.500 0.341 Mg
```

| no. | energy (eV per atom) |
| --- | --- |
| 1 | -5.875 |
| 2 | -5.371 |
| 3 | -3.249 |
| 4 | -7.155 |
| 5 | -4.322 |
| 6 | -8.006 |
| 7 | -6.395 |
| 8 | -8.064 |
| 9 | -3.648 |
| 10 | -3.633 |
| 11 | -3.219 |
| 12 | -2.363 |
| 13 | -5.669 |
| 14 | -5.288 |
| 15 | -9.942 |
| 16 | -5.275 |
| 17 | -9.883 |
| 18 | -2.955 |
| 19 | -4.413 |
| 20 | -4.317 |